[1]
Pm2Sm12Y5 after structural relaxation, computed with PBE.

Cell and atoms, written as CIF:
```
data_Pm2Sm12Y5
_chemical_formula_sum 'Pm4 Sm24 Y10'
_space_group_name_H-M_alt 'C 1 2/m 1'
_space_group_IT_number 12
_space_group_name_Hall '-C 2y'
_cell_length_a 22.2441
_cell_length_b 7.1248
_cell_length_c 8.7425
_cell_angle_alpha 90.00
_cell_angle_beta 109.57
_cell_angle_gamma 90.00
loop_
_atom_site_label
_atom_site_type_symbol
_atom_site_fract_x
_atom_site_fract_y
_atom_site_fract_z
_atom_site_occupancy
Pm1 Pm 0.0000 0.2466 0.0000 1
Sm1 Sm 0.0478 0.0000 0.6917 1
Sm2 Sm 0.1067 0.2430 0.3864 1
Sm3 Sm 0.1475 0.5000 0.0731 1
Sm4 Sm 0.1990 0.2464 0.7937 1
Y1 Y 0.0000 0.5000 0.5000 1
Y2 Y 0.1520 0.0000 0.0971 1
Y3 Y 0.2493 0.5000 0.4916 1
```

Energy of formation: 132 meV/atom
Crystal system: monoclinic
Mass density: 6.5 g/cm³
Energy: -5.050 eV/atom

---

[2]
Pm2Sm2Y7 after structural relaxation, computed with PBE.

Cell and atoms, written as CIF:
```
data_Pm2Sm2Y7
_chemical_formula_sum 'Pm4 Sm4 Y14'
_space_group_name_H-M_alt 'C 1 2/m 1'
_space_group_IT_number 12
_space_group_name_Hall '-C 2y'
_cell_length_a 11.2935
_cell_length_b 11.7176
_cell_length_c 6.0931
_cell_angle_alpha 90.00
_cell_angle_beta 113.09
_cell_angle_gamma 90.00
loop_
_atom_site_label
_atom_site_type_symbol
_atom_site_fract_x
_atom_site_fract_y
_atom_site_fract_z
_atom_site_occupancy
Pm1 Pm 0.0000 0.2139 0.0000 1
Sm1 Sm 0.0919 0.5000 0.3055 1
Y1 Y 0.0000 0.0000 0.5000 1
Y2 Y 0.1736 0.2369 0.6758 1
Y3 Y 0.2301 0.0000 0.0860 1
```

Energy of formation: 155 meV/atom
Crystal system: monoclinic
Mass density: 5.4 g/cm³
Energy: -5.681 eV/atom

---

[3]
PmSmY2 after structural relaxation, computed with PBE.

Cell and atoms, written as CIF:
```
data_PmSmY2
_chemical_formula_sum 'Pm3 Sm3 Y6'
_space_group_name_H-M_alt 'R 3 m'
_space_group_IT_number 160
_space_group_name_Hall 'R 3 -2"'
_cell_length_a 3.6258
_cell_length_b 3.6258
_cell_length_c 34.9932
_cell_angle_alpha 90.00
_cell_angle_beta 90.00
_cell_angle_gamma 120.00
loop_
_atom_site_label
_atom_site_type_symbol
_atom_site_fract_x
_atom_site_fract_y
_atom_site_fract_z
_atom_site_occupancy
Pm1 Pm 0.0000 0.0000 0.0000 1
Sm1 Sm 0.0000 0.0000 0.1660 1
Y1 Y 0.0000 0.0000 0.5824 1
Y2 Y 0.0000 0.0000 0.7498 1
```

Energy of formation: 13 meV/atom
Crystal system: trigonal
Mass density: 5.9 g/cm³
Energy: -5.586 eV/atom

---

[4]
Pm6SmY12 after structural relaxation, computed with PBE.

Cell and atoms, written as CIF:
```
data_Pm6SmY12
_chemical_formula_sum 'Pm18 Sm3 Y36'
_space_group_name_H-M_alt 'R -3'
_space_group_IT_number 148
_space_group_name_Hall '-R 3'
_cell_length_a 15.6776
_cell_length_b 15.6776
_cell_length_c 8.8192
_cell_angle_alpha 90.00
_cell_angle_beta 90.00
_cell_angle_gamma 120.00
loop_
_atom_site_label
_atom_site_type_symbol
_atom_site_fract_x
_atom_site_fract_y
_atom_site_fract_z
_atom_site_occupancy
Pm1 Pm 0.0355 0.7549 0.3333 1
Sm1 Sm 0.0000 0.0000 0.0000 1
Y1 Y 0.0175 0.8774 0.6668 1
Y2 Y 0.0707 0.5092 0.6671 1
```

Energy of formation: 17 meV/atom
Crystal system: trigonal
Mass density: 5.5 g/cm³
Energy: -5.815 eV/atom

---

[5]
Pm2Sm7Y after structural relaxation, computed with PBE.

Cell and atoms, written as CIF:
```
data_Pm2Sm7Y
_chemical_formula_sum 'Pm4 Sm14 Y2'
_space_group_name_H-M_alt 'C m m m'
_space_group_IT_number 65
_space_group_name_Hall '-C 2 2'
_cell_length_a 6.6722
_cell_length_b 29.2659
_cell_length_c 3.5091
_cell_angle_alpha 90.00
_cell_angle_beta 90.00
_cell_angle_gamma 90.00
loop_
_atom_site_label
_atom_site_type_symbol
_atom_site_fract_x
_atom_site_fract_y
_atom_site_fract_z
_atom_site_occupancy
Pm1 Pm 0.0000 0.2054 0.0000 1
Sm1 Sm 0.0000 0.0000 0.0000 1
Sm2 Sm 0.0000 0.3122 0.5000 1
Sm3 Sm 0.2453 0.4015 0.0000 1
Y1 Y 0.0000 0.5000 0.5000 1
```

Energy of formation: 153 meV/atom
Crystal system: orthorhombic
Mass density: 6.9 g/cm³
Energy: -4.747 eV/atom

---

[6]
Pm4Sm5Y after structural relaxation, computed with PBE.

Cell and atoms, written as CIF:
```
data_Pm4Sm5Y
_chemical_formula_sum 'Pm8 Sm10 Y2'
_space_group_name_H-M_alt 'I 4 m m'
_space_group_IT_number 107
_space_group_name_Hall 'I 4 -2'
_cell_length_a 10.6281
_cell_length_b 10.6281
_cell_length_c 6.1479
_cell_angle_alpha 90.00
_cell_angle_beta 90.00
_cell_angle_gamma 90.00
loop_
_atom_site_label
_atom_site_type_symbol
_atom_site_fract_x
_atom_site_fract_y
_atom_site_fract_z
_atom_site_occupancy
Pm1 Pm 0.0000 0.3248 0.0000 1
Sm1 Sm 0.0000 0.0000 0.7486 1
Sm2 Sm 0.1892 0.1892 0.4822 1
Y1 Y 0.0000 0.0000 0.2161 1
```

Energy of formation: 241 meV/atom
Crystal system: tetragonal
Mass density: 6.8 g/cm³
Energy: -4.665 eV/atom

---

[7]
Pm3SmY6 after structural relaxation, computed with PBE.

Cell and atoms, written as CIF:
```
data_Pm3SmY6
_chemical_formula_sum 'Pm9 Sm3 Y18'
_space_group_name_H-M_alt 'R -3'
_space_group_IT_number 148
_space_group_name_Hall '-R 3'
_cell_length_a 9.9841
_cell_length_b 9.9841
_cell_length_c 11.6647
_cell_angle_alpha 90.00
_cell_angle_beta 90.00
_cell_angle_gamma 120.00
loop_
_atom_site_label
_atom_site_type_symbol
_atom_site_fract_x
_atom_site_fract_y
_atom_site_fract_z
_atom_site_occupancy
Pm1 Pm 0.0000 0.0000 0.0000 1
Pm2 Pm 0.0000 0.0000 0.2500 1
Sm1 Sm 0.0000 0.0000 0.5000 1
Y1 Y 0.9995 0.3268 0.7501 1
```

Energy of formation: 259 meV/atom
Crystal system: trigonal
Mass density: 5.5 g/cm³
Energy: -5.517 eV/atom

---

[8]
Pm3Sm6Y2 after structural relaxation, computed with PBE.

Cell and atoms, written as CIF:
```
data_Pm3Sm6Y2
_chemical_formula_sum 'Pm3 Sm6 Y2'
_space_group_name_H-M_alt 'P -1'
_space_group_IT_number 2
_space_group_name_Hall '-P 1'
_cell_length_a 6.2863
_cell_length_b 8.0820
_cell_length_c 8.1074
_cell_angle_alpha 107.52
_cell_angle_beta 97.38
_cell_angle_gamma 104.80
loop_
_atom_site_label
_atom_site_type_symbol
_atom_site_fract_x
_atom_site_fract_y
_atom_site_fract_z
_atom_site_occupancy
Pm1 Pm 0.0000 0.0000 0.0000 1
Pm2 Pm 0.0910 0.3634 0.8176 1
Sm1 Sm 0.1816 0.7274 0.6363 1
Sm2 Sm 0.3636 0.4549 0.2736 1
Sm3 Sm 0.4546 0.8188 0.0912 1
Y1 Y 0.2731 0.0907 0.4554 1
```

Energy of formation: 13 meV/atom
Crystal system: triclinic
Mass density: 6.8 g/cm³
Energy: -5.032 eV/atom

---

[9]
PmSm3Y7 after structural relaxation, computed with PBE.

Cell and atoms, written as CIF:
```
data_PmSm3Y7
_chemical_formula_sum 'Pm1 Sm3 Y7'
_space_group_name_H-M_alt 'P 3 m 1'
_space_group_IT_number 156
_space_group_name_Hall 'P 3 -2"'
_cell_length_a 7.1261
_cell_length_b 7.1261
_cell_length_c 8.6982
_cell_angle_alpha 90.00
_cell_angle_beta 90.00
_cell_angle_gamma 120.00
loop_
_atom_site_label
_atom_site_type_symbol
_atom_site_fract_x
_atom_site_fract_y
_atom_site_fract_z
_atom_site_occupancy
Pm1 Pm 0.0000 0.0000 0.0000 1
Sm1 Sm 0.1667 0.3334 0.3359 1
Y1 Y 0.0017 0.5009 0.9999 1
Y2 Y 0.3317 0.1658 0.6705 1
Y3 Y 0.3333 0.6667 0.6713 1
```

Energy of formation: 187 meV/atom
Crystal system: trigonal
Mass density: 5.3 g/cm³
Energy: -5.646 eV/atom

---

[10]
Pm6Sm3Y2 after structural relaxation, computed with PBE.

Cell and atoms, written as CIF:
```
data_Pm6Sm3Y2
_chemical_formula_sum 'Pm12 Sm6 Y4'
_space_group_name_H-M_alt 'I 4/m m m'
_space_group_IT_number 139
_space_group_name_Hall '-I 4 2'
_cell_length_a 4.8002
_cell_length_b 4.8002
_cell_length_c 33.9823
_cell_angle_alpha 90.00
_cell_angle_beta 90.00
_cell_angle_gamma 90.00
loop_
_atom_site_label
_atom_site_type_symbol
_atom_site_fract_x
_atom_site_fract_y
_atom_site_fract_z
_atom_site_occupancy
Pm1 Pm 0.0000 0.0000 0.2009 1
Pm2 Pm 0.0000 0.5000 0.1210 1
Sm1 Sm 0.0000 0.0000 0.3018 1
Sm2 Sm 0.0000 0.0000 0.5000 1
Y1 Y 0.0000 0.0000 0.0456 1
```

Energy of formation: 278 meV/atom
Crystal system: tetragonal
Mass density: 6.4 g/cm³
Energy: -4.776 eV/atom

---

- Among the records above, which one has the highest energy of formation?
  Pm6Sm3Y2